[1]
A plane-wave DFT calculation with PBE was carried out for Ir2W after structural relaxation.

Cell: 5.2518 5.2518 6.5863 Å, 103.81 103.81 30.69°
Closest atoms and distances in Å follow each position.
Fractional positions:
1 Ir 0.0000 0.0000 0.0000  5 W 2.71-2.77, 7 Ir 2.78-2.80
2 Ir 0.0599 0.0599 0.6066  8 Ir 2.74-2.80, 4 W 2.74-2.75
3 Ir 0.3376 0.3376 0.6650  3 W 2.74-2.75, 9 Ir 2.74-2.79
4 Ir 0.6766 0.6766 0.3261  4 W 2.71-2.77, 8 Ir 2.78-2.80
5 W 0.3971 0.3971 0.2796  8 Ir 2.71-2.77, 4 W 2.78-2.87
6 W 0.7222 0.7222 0.9359  8 Ir 2.72-2.77, 4 W 2.78-2.87

The density comes out at 21.009 g/cm3. The calculation puts the raw total energy at -10.432 eV/atom. The value obtained for the volume is 14.97 Å³/atom. For the energy of formation from the pure elements, the calculation gives -207 meV per atom. The space-group type is Cm, No. 8.

=====

[2]
A plane-wave DFT calculation with PBE was carried out for Pm2DyY3 after structural relaxation.

Cell: 8.9439 8.9439 8.4304 Å, 92.49 92.49 36.33°
Closest atoms and distances in Å follow each position.
Fractional positions:
1 Pm 0.0942 0.0942 0.0879  4 Y 3.39-3.79, 2 Dy 3.45-3.68, 3 Pm 3.47-3.52
2 Pm 0.3940 0.3940 0.1641  2 Dy 3.26, 2 Pm 3.52, 1 Y 3.56
3 Pm 0.6060 0.6060 0.8359  2 Dy 3.26, 2 Pm 3.52, 1 Y 3.56
4 Pm 0.9058 0.9058 0.9121  4 Y 3.39-3.79, 2 Dy 3.45-3.68, 3 Pm 3.47-3.52
5 Dy 0.0582 0.0582 0.6546  1 Dy 3.20, 3 Pm 3.26-3.45, 2 Y 3.53-3.55
6 Dy 0.9418 0.9418 0.3454  1 Dy 3.20, 3 Pm 3.26-3.45, 2 Y 3.53-3.55
7 Y 0.2213 0.2213 0.4094  8 Y 3.30-3.70, 2 Pm 3.39-3.67, 1 Dy 3.53
8 Y 0.2484 0.2484 0.8469  4 Pm 3.39-3.69, 1 Dy 3.55, 4 Y 3.55-3.70
9 Y 0.4154 0.4154 0.6087  5 Y 3.48-3.63, 4 Dy 3.60-3.70, 4 Pm 3.69-3.79
10 Y 0.5846 0.5846 0.3913  5 Y 3.48-3.63, 4 Dy 3.60-3.70, 4 Pm 3.69-3.79
11 Y 0.7516 0.7516 0.1531  4 Pm 3.39-3.69, 1 Dy 3.55, 4 Y 3.55-3.70
12 Y 0.7787 0.7787 0.5906  8 Y 3.30-3.70, 2 Pm 3.39-3.67, 1 Dy 3.53

The density comes out at 5.985 g/cm3. The calculation puts the raw total energy at -5.501 eV/atom. The value obtained for the volume is 33.26 Å³/atom. For the energy of formation from the pure elements, the calculation gives 82 meV per atom. The space-group type is C2/m, No. 12.